This record from the Alexandria database describes a relaxed structure of PuCdHgBi. The functional is PBE-GGA.

Computed properties:
* D(E_F): 3.041 states/eV/atom
* E_form: -86 kJ/mol of formula units
* E above lowest polymorph: 0 meV/atom

Unit cell a=4.698 b=4.399 c=5.130 alpha=90.00 beta=90.00 gamma=90.00
Each line ends with the local moment (μB).
Fractional positions:
Pu  0.500  0.000  0.500  -5.37
Cd  0.000  0.000  0.000  0.00
Hg  0.500  0.500  0.000  0.00
Bi  0.000  0.500  0.500  0.09

This record from the Alexandria database describes a relaxed structure of RbCdHgBi. The functional is PBE-GGA.

Computed properties:
* D(E_F): 0.171 states/eV/atom
* E_form: -83 kJ/mol of formula units
* E above lowest polymorph: 0 meV/atom

Unit cell a=5.076 b=5.060 c=7.599 alpha=70.53 beta=90.00 gamma=120.10
Fractional positions:
Rb  0.614  0.228  0.433
Cd  0.136  0.272  0.869
Hg  0.383  0.766  0.125
Bi  0.822  0.643  0.811

This record from the Alexandria database describes a relaxed structure of RbCd4Hg2Bi. The functional is PBE-GGA.

Computed properties:
* D(E_F): 0.557 states/eV/atom
* E_form: -62 kJ/mol of formula units

Unit cell a=4.837 b=4.837 c=10.542 alpha=90.00 beta=90.00 gamma=90.00
Fractional positions:
Rb  0.000  0.000  0.500
Cd  0.000  0.500  0.191
Cd  0.500  0.000  0.809
Cd  0.500  0.000  0.191
Cd  0.000  0.500  0.809
Hg  0.500  0.500  0.357
Hg  0.500  0.500  0.643
Bi  0.000  0.000  0.000

This record from the Alexandria database describes a relaxed structure of RbCdHgBi. The functional is PBE-GGA.

Computed properties:
* D(E_F): 0.344 states/eV/atom
* E_form: -41 kJ/mol of formula units
* E above lowest polymorph: 108 meV/atom

Unit cell a=5.667 b=5.667 c=5.667 alpha=60.00 beta=60.00 gamma=60.00
Fractional positions:
Cd  0.750  0.750  0.750
Bi  0.500  0.500  0.500
Rb  0.000  0.000  0.000
Hg  0.250  0.250  0.250

This record from the Alexandria database describes a relaxed structure of Rb2Cd3HgBi4. The functional is PBE-GGA.

Computed properties:
* D(E_F): 0.340 states/eV/atom
* E_form: -194 kJ/mol of formula units

Unit cell a=5.314 b=5.314 c=12.264 alpha=90.00 beta=90.00 gamma=90.00
Fractional positions:
Rb  0.500  0.000  0.256
Rb  0.000  0.500  0.744
Cd  0.000  0.000  0.500
Cd  0.500  0.000  0.869
Cd  0.000  0.500  0.131
Hg  0.500  0.500  0.500
Bi  0.500  0.500  0.000
Bi  0.000  0.000  0.000
Bi  0.500  0.000  0.628
Bi  0.000  0.500  0.372

This record from the Alexandria database describes a relaxed structure of Rb2Cd4HgBi3. The functional is PBE-GGA.

Computed properties:
* D(E_F): 0.307 states/eV/atom
* E_form: -197 kJ/mol of formula units

Unit cell a=5.318 b=5.318 c=12.093 alpha=90.00 beta=90.00 gamma=90.00
Fractional positions:
Rb  0.500  0.000  0.248
Rb  0.000  0.500  0.752
Cd  0.500  0.500  0.000
Cd  0.000  0.000  0.000
Cd  0.500  0.000  0.623
Cd  0.000  0.500  0.377
Hg  0.500  0.500  0.500
Bi  0.000  0.000  0.500
Bi  0.500  0.000  0.869
Bi  0.000  0.500  0.131

This record from the Alexandria database describes a relaxed structure of RbCd2Hg4Bi. The functional is PBE-GGA.

Computed properties:
* D(E_F): 0.492 states/eV/atom
* E_form: -59 kJ/mol of formula units

Unit cell a=5.468 b=5.468 c=8.633 alpha=90.00 beta=90.00 gamma=90.00
Fractional positions:
Rb  0.000  0.000  0.000
Cd  0.500  0.500  0.171
Cd  0.500  0.500  0.829
Hg  0.000  0.500  0.306
Hg  0.500  0.000  0.694
Hg  0.500  0.000  0.306
Hg  0.000  0.500  0.694
Bi  0.000  0.000  0.500

This record from the Alexandria database describes a relaxed structure of Rb2CdHg3Bi4. The functional is PBE-GGA.

Computed properties:
* D(E_F): 0.402 states/eV/atom
* E_form: -164 kJ/mol of formula units

Unit cell a=5.299 b=5.299 c=12.400 alpha=90.00 beta=90.00 gamma=90.00
Fractional positions:
Rb  0.500  0.000  0.254
Rb  0.000  0.500  0.746
Cd  0.500  0.500  0.500
Hg  0.000  0.000  0.500
Hg  0.500  0.000  0.865
Hg  0.000  0.500  0.135
Bi  0.500  0.500  0.000
Bi  0.000  0.000  0.000
Bi  0.500  0.000  0.627
Bi  0.000  0.500  0.373